No. 1
Below is crystalline Th2Zn15Hg2 at its relaxed geometry, with properties calculated at the GGA-PBE level.

Summary:
DOS(E_F) = 0.3898 states/eV per atom
formation enthalpy at 0 K = -4.0 kcal/mol of atoms
uncorrected energy = -1.9904 eV per atom

Cell lengths 6.957, 6.957, 6.957 Å; angles 83.09, 83.09, 83.09 degrees
Positions (direct):
Zn: 0.301 0.699 0.000
Zn: 0.500 0.000 0.000
Zn: 0.000 0.000 0.500
Zn: 0.354 0.833 0.354
Zn: 0.699 0.301 0.000
Zn: 0.000 0.699 0.301
Zn: 0.646 0.646 0.167
Zn: 0.000 0.500 0.000
Zn: 0.000 0.301 0.699
Zn: 0.699 0.000 0.301
Th: 0.343 0.343 0.343
Zn: 0.354 0.354 0.833
Zn: 0.646 0.167 0.646
Hg: 0.107 0.107 0.107
Th: 0.657 0.657 0.657
Zn: 0.167 0.646 0.646
Zn: 0.833 0.354 0.354
Hg: 0.893 0.893 0.893
Zn: 0.301 0.000 0.699

No. 2
Below is crystalline ThZn2Hg at its relaxed geometry, with properties calculated at the GGA-PBE level.

Summary:
DOS(E_F) = 0.6112 states/eV per atom
formation enthalpy at 0 K = -4.4 kcal/mol of atoms
uncorrected energy = -2.7587 eV per atom
relative energy among the computed polymorphs = 8 meV/atom

Cell lengths 4.608, 3.745, 10.392 Å; angles 100.38, 90.00, 90.00 degrees
Positions (direct):
Th: 0.750 0.093 0.187
Zn: 0.750 0.736 0.473
Zn: 0.250 0.530 0.059
Th: 0.250 0.907 0.813
Zn: 0.750 0.470 0.941
Hg: 0.750 0.336 0.673
Hg: 0.250 0.664 0.327
Zn: 0.250 0.264 0.527

No. 3
Below is crystalline ThZn2Hg at its relaxed geometry, with properties calculated at the GGA-PBE level.

Summary:
DOS(E_F) = 0.6434 states/eV per atom
formation enthalpy at 0 K = -1.7 kcal/mol of atoms
uncorrected energy = -2.6414 eV per atom
relative energy among the computed polymorphs = 125 meV/atom

Cell lengths 3.475, 3.475, 7.233 Å; angles 90.00, 90.00, 90.00 degrees
Positions (direct):
Th: 0.500 0.500 0.500
Zn: 0.000 0.000 0.781
Hg: 0.500 0.500 0.000
Zn: 0.000 0.000 0.219

No. 4
Below is crystalline ThZn2Hg at its relaxed geometry, with properties calculated at the GGA-PBE level.

Summary:
DOS(E_F) = 0.9646 states/eV per atom
formation enthalpy at 0 K = -4.6 kcal/mol of atoms
uncorrected energy = -2.7664 eV per atom
relative energy among the computed polymorphs = 0 meV/atom

Cell lengths 4.531, 9.297, 8.658 Å; angles 90.00, 105.17, 90.00 degrees
Positions (direct):
Hg: 0.852 0.976 0.703
Zn: 0.314 0.385 0.629
Hg: 0.852 0.524 0.703
Hg: 0.148 0.476 0.297
Zn: 0.686 0.615 0.371
Th: 0.500 0.500 0.000
Zn: 0.949 0.750 0.899
Hg: 0.148 0.024 0.297
Zn: 0.095 0.750 0.190
Zn: 0.314 0.115 0.629
Th: 0.295 0.750 0.591
Zn: 0.905 0.250 0.810
Th: 0.500 0.000 0.000
Zn: 0.686 0.885 0.371
Zn: 0.051 0.250 0.101
Th: 0.705 0.250 0.409

No. 5
Below is crystalline Th5Zn4Hg at its relaxed geometry, with properties calculated at the GGA-PBE level.

Summary:
DOS(E_F) = 0.6703 states/eV per atom
formation enthalpy at 0 K = -4.0 kcal/mol of atoms
uncorrected energy = -4.4250 eV per atom

Cell lengths 3.665, 3.665, 18.892 Å; angles 90.00, 90.00, 90.00 degrees
Positions (direct):
Th: 0.500 0.500 0.111
Zn: 0.000 0.000 0.403
Zn: 0.000 0.000 0.791
Zn: 0.000 0.000 0.597
Th: 0.500 0.500 0.307
Zn: 0.000 0.000 0.209
Hg: 0.000 0.000 0.000
Th: 0.500 0.500 0.889
Th: 0.500 0.500 0.500
Th: 0.500 0.500 0.693

No. 6
Below is crystalline Th3Zn2Hg6 at its relaxed geometry, with properties calculated at the GGA-PBE level.

Summary:
DOS(E_F) = 0.9505 states/eV per atom
formation enthalpy at 0 K = -1.4 kcal/mol of atoms
uncorrected energy = -2.4786 eV per atom

Cell lengths 4.269, 4.269, 15.885 Å; angles 97.72, 97.72, 90.00 degrees
Positions (direct):
Hg: 0.422 0.922 0.843
Hg: 0.273 0.273 0.547
Hg: 0.727 0.727 0.453
Th: 0.829 0.829 0.658
Th: 0.171 0.171 0.342
Hg: 0.578 0.078 0.157
Hg: 0.922 0.422 0.843
Zn: 0.362 0.362 0.723
Th: 0.000 0.000 0.000
Hg: 0.078 0.578 0.157
Zn: 0.638 0.638 0.277